# 1
A plane-wave DFT calculation with GGA-PBE was carried out for a relaxed structure of MnInS2Cl.

Unit cell a=4.666 b=4.666 c=4.907 alpha=90.00 beta=90.00 gamma=90.00
Last column: magnetic moment on the atom in μB.
Fractional coordinates of all 5 atoms:
S: 0.000 0.500 0.000  -0.01
In: 0.500 0.500 0.500  -0.06
Mn: 0.000 0.000 0.000  3.40
Cl: 0.000 0.000 0.500  0.01
S: 0.500 0.000 0.000  -0.01

Calculated values
Its uncorrected formation energy is -0.32 eV per atom. Its symmetry is No. 123.

# 2
A plane-wave DFT calculation with GGA-PBE was carried out for a relaxed structure of MnInSCl2.

Unit cell a=6.207 b=6.207 c=5.845 alpha=90.00 beta=90.00 gamma=90.00
Last column: magnetic moment on the atom in μB.
Fractional coordinates of all 5 atoms:
Cl: 0.500 0.000 0.000  0.06
Mn: 0.000 0.000 0.000  4.44
In: 0.500 0.500 0.500  0.00
Cl: 0.000 0.500 0.000  0.06
S: 0.000 0.000 0.500  0.40

Calculated values
Its uncorrected formation energy is 0.16 eV per atom. Its symmetry is No. 123.

# 3
A plane-wave DFT calculation with GGA-PBE was carried out for a relaxed structure of MnInSCl2.

Unit cell a=5.007 b=5.007 c=5.044 alpha=90.00 beta=90.00 gamma=90.00
Last column: magnetic moment on the atom in μB.
Fractional coordinates of all 5 atoms:
Mn: 0.500 0.500 0.500  4.76
S: 0.000 0.000 0.500  0.04
Cl: 0.000 0.500 0.000  0.03
In: 0.000 0.000 0.000  0.02
Cl: 0.500 0.000 0.000  0.03

Calculated values
Its uncorrected formation energy is -0.05 eV per atom. Its symmetry is No. 123.

# 4
A plane-wave DFT calculation with GGA-PBE was carried out for a relaxed structure of ScMnInCl2.

Unit cell a=5.402 b=5.367 c=5.402 alpha=90.00 beta=90.00 gamma=90.00
Last column: magnetic moment on the atom in μB.
Fractional coordinates of all 5 atoms:
Mn: 0.000 0.500 0.000  4.04
Sc: 0.500 0.500 0.500  -1.04
In: 0.000 0.000 0.000  0.00
Cl: 0.000 0.000 0.500  0.03
Cl: 0.500 0.000 0.000  0.01

Calculated values
Its uncorrected formation energy is 0.32 eV per atom. Its symmetry is No. 123.

# 5
A plane-wave DFT calculation with GGA-PBE was carried out for a relaxed structure of Mn2InSnCl6.

Unit cell a=6.811 b=8.000 c=7.533 alpha=90.92 beta=121.41 gamma=122.95
Last column: magnetic moment on the atom in μB.
Fractional coordinates of all 10 atoms:
Cl: 0.648 0.585 0.638  0.04
Cl: 0.718 0.705 0.165  0.04
Mn: 0.575 0.798 0.372  4.42
Cl: 0.142 0.131 0.694  0.06
In: 0.146 0.512 0.679  0.02
Cl: 0.496 0.942 0.621  0.04
Cl: 0.492 0.017 0.168  0.04
Mn: 0.549 0.260 0.688  4.01
Sn: 0.156 0.079 0.191  -0.20
Cl: 0.042 0.449 0.088  0.06

Calculated values
Its uncorrected formation energy is -0.84 eV per atom. Its symmetry is No. 1.

# 6
A plane-wave DFT calculation with GGA-PBE was carried out for a relaxed structure of MnInSnCl5.

Unit cell a=7.681 b=7.681 c=10.142 alpha=104.00 beta=104.00 gamma=106.59
Last column: magnetic moment on the atom in μB.
Fractional coordinates of all 16 atoms:
Sn: 0.000 0.000 0.000  0.02
Cl: 0.392 0.257 0.069  0.05
Cl: 0.905 0.095 0.750  0.00
Cl: 0.668 0.087 0.369  0.04
Cl: 0.095 0.905 0.250  0.00
Mn: 0.317 0.683 0.750  4.34
Mn: 0.683 0.317 0.250  4.34
Sn: 0.000 0.000 0.500  0.02
In: 0.660 0.340 0.750  0.01
Cl: 0.743 0.608 0.431  0.05
Cl: 0.332 0.913 0.631  0.04
Cl: 0.257 0.392 0.569  0.05
Cl: 0.608 0.743 0.931  0.05
Cl: 0.913 0.332 0.131  0.04
In: 0.340 0.660 0.250  0.01
Cl: 0.087 0.668 0.869  0.04

Calculated values
Its uncorrected formation energy is -0.98 eV per atom. Its symmetry is No. 15.

# 7
A plane-wave DFT calculation with GGA-PBE was carried out for a relaxed structure of MnIn2SnCl6.

Unit cell a=7.571 b=7.575 c=7.345 alpha=58.86 beta=58.92 gamma=59.92
Last column: magnetic moment on the atom in μB.
Fractional coordinates of all 10 atoms:
In: 0.089 0.089 0.731  0.00
Cl: 0.096 0.478 0.801  0.03
Cl: 0.008 0.537 0.301  0.03
Cl: 0.154 0.008 0.304  0.03
In: 0.543 0.543 0.372  0.00
Cl: 0.536 0.155 0.302  0.03
Sn: 0.816 0.816 0.552  0.05
Cl: 0.624 0.095 0.802  0.03
Mn: 0.316 0.316 0.052  4.39
Cl: 0.478 0.624 0.799  0.03

Calculated values
Its uncorrected formation energy is -0.94 eV per atom. Its symmetry is No. 2.

# 8
A plane-wave DFT calculation with GGA-PBE was carried out for a relaxed structure of SrMnInCl5.

Unit cell a=7.730 b=7.730 c=10.272 alpha=103.71 beta=103.71 gamma=106.80
Last column: magnetic moment on the atom in μB.
Fractional coordinates of all 16 atoms:
In: 0.339 0.661 0.250  0.00
Cl: 0.901 0.099 0.750  0.00
Cl: 0.396 0.261 0.071  0.05
Cl: 0.261 0.396 0.571  0.05
Cl: 0.081 0.667 0.862  0.04
Cl: 0.919 0.333 0.138  0.04
In: 0.661 0.339 0.750  0.00
Cl: 0.739 0.604 0.429  0.05
Sr: 0.000 0.000 0.500  0.01
Cl: 0.667 0.081 0.362  0.04
Mn: 0.318 0.682 0.750  4.36
Cl: 0.604 0.739 0.929  0.05
Mn: 0.682 0.318 0.250  4.36
Cl: 0.099 0.901 0.250  0.00
Sr: 0.000 0.000 0.000  0.01
Cl: 0.333 0.919 0.638  0.04

Calculated values
Its uncorrected formation energy is -1.53 eV per atom. Its symmetry is No. 15.

# 9
A plane-wave DFT calculation with GGA-PBE was carried out for a relaxed structure of SrMnIn2Cl6.

Unit cell a=7.653 b=7.656 c=7.381 alpha=58.70 beta=58.74 gamma=59.95
Last column: magnetic moment on the atom in μB.
Fractional coordinates of all 10 atoms:
Cl: 0.160 0.005 0.305  0.03
In: 0.094 0.094 0.718  0.00
In: 0.538 0.538 0.386  0.00
Sr: 0.816 0.816 0.552  0.01
Cl: 0.101 0.472 0.800  0.03
Cl: 0.531 0.160 0.303  0.03
Cl: 0.472 0.627 0.798  0.03
Cl: 0.005 0.532 0.303  0.03
Cl: 0.627 0.101 0.800  0.03
Mn: 0.316 0.316 0.052  4.43

Calculated values
Its uncorrected formation energy is -1.38 eV per atom. Its symmetry is No. 2.

# 10
A plane-wave DFT calculation with GGA-PBE was carried out for a relaxed structure of Ta2MnInCl.

Unit cell a=4.829 b=4.148 c=4.829 alpha=90.00 beta=90.00 gamma=90.00
Fractional coordinates of all 5 atoms:
Cl: 0.000 0.500 0.000
In: 0.500 0.500 0.500
Mn: 0.000 0.000 0.000
Ta: 0.000 0.000 0.500
Ta: 0.500 0.000 0.000

Calculated values
Its uncorrected formation energy is 0.89 eV per atom. Its symmetry is No. 123.

# 11
A plane-wave DFT calculation with GGA-PBE was carried out for a relaxed structure of MnTl2InCl6.

Unit cell a=7.428 b=7.428 c=7.303 alpha=59.43 beta=59.43 gamma=59.99
Last column: magnetic moment on the atom in μB.
Fractional coordinates of all 10 atoms:
Cl: 0.545 0.138 0.295  -0.01
Cl: 0.138 0.022 0.295  -0.01
Cl: 0.022 0.545 0.295  -0.01
Mn: 0.316 0.316 0.051  4.20
Cl: 0.087 0.495 0.808  -0.01
Cl: 0.610 0.087 0.808  -0.01
Tl: 0.554 0.554 0.337  0.00
In: 0.816 0.816 0.552  -0.19
Tl: 0.078 0.078 0.766  0.00
Cl: 0.495 0.610 0.808  -0.01

Calculated values
Its uncorrected formation energy is -1.00 eV per atom. Its symmetry is No. 148.

# 12
A plane-wave DFT calculation with GGA-PBE was carried out for a relaxed structure of Mn2TlInCl8.

Unit cell a=6.286 b=6.783 c=9.354 alpha=79.44 beta=81.10 gamma=74.88
Last column: magnetic moment on the atom in μB.
Fractional coordinates of all 12 atoms:
Cl: 0.855 0.337 0.721  0.02
Mn: 0.512 0.540 0.299  3.64
Cl: 0.594 0.795 0.130  0.00
Cl: 0.566 0.713 0.506  0.03
In: 0.000 0.000 0.000  -0.03
Cl: 0.182 0.693 0.783  0.01
Cl: 0.434 0.287 0.494  0.03
Cl: 0.406 0.205 0.870  0.00
Cl: 0.145 0.663 0.279  0.02
Cl: 0.818 0.307 0.217  0.01
Mn: 0.488 0.460 0.701  3.64
Tl: 0.000 0.000 0.500  0.01

Calculated values
Its uncorrected formation energy is -0.95 eV per atom. Its symmetry is No. 2.